Material: LaHoMgSi
Method: DFT, PBE
State: optimized geometry

The structure in POSCAR format:
```
LaHoMgSi
1.0
5.2055 0.0000 0.0000
2.6027 4.5081 0.0000
2.6027 1.5027 4.2503
Mg Ho La Si
1 1 1 1
Direct
0.2500 0.2500 0.2500
0.0000 0.0000 0.0000
0.5000 0.5000 0.5000
0.7500 0.7500 0.7500
```

Summary:
* E_tot: -17.67 eV for the cell shown
* energy relative to the elements, uncorrected: -0.29 eV/atom
* spin magnetization: 0.00 μB per cell


Material: La6Sm2HoMg
Method: DFT, PBE
State: optimized geometry

The structure in POSCAR format:
```
La6Sm2HoMg
1.0
0.2060 3.2215 -8.8989
-8.7180 -0.6376 0.3833
1.8510 7.7303 3.6571
La Mg Sm Ho
12 2 4 2
Direct
0.5833 0.7478 0.0796
0.3260 0.0327 0.4578
0.6740 0.9673 0.5422
0.4002 0.5641 0.3206
0.0833 0.0796 0.7478
0.1740 0.5422 0.9673
0.5998 0.4359 0.6794
0.4167 0.2522 0.9204
0.9167 0.9204 0.2522
0.8260 0.4578 0.0327
0.0998 0.6794 0.4359
0.9002 0.3206 0.5641
0.2500 0.4046 0.5954
0.7500 0.5954 0.4046
0.0926 0.2643 0.1981
0.4074 0.8019 0.7357
0.9074 0.7357 0.8019
0.5926 0.1981 0.2643
0.2500 0.9308 0.0692
0.7500 0.0692 0.9308
```

Summary:
* E_tot: -88.53 eV for the cell shown
* formation enthalpy at 0 K: 0.091 eV/atom
* spin magnetization: 0.00 μB per cell


Material: La3Sm6Ho2Mg
Method: DFT, PBE
State: optimized geometry

The structure in POSCAR format:
```
La3Sm6Ho2Mg
1.0
-0.1320 -5.0093 3.7783
4.5835 4.2487 0.5721
-7.9994 6.2355 6.2402
Ho Sm La Mg
2 6 3 1
Direct
0.3335 0.6665 0.0000
0.6665 0.3335 0.0000
0.9204 0.5889 0.7578
0.7486 0.7486 0.2432
0.0796 0.4111 0.2422
0.2514 0.2514 0.7568
0.4111 0.0796 0.2422
0.5889 0.9204 0.7578
0.8328 0.1672 0.5000
0.1672 0.8328 0.5000
0.5000 0.5000 0.5000
0.0000 0.0000 0.0000
```

Summary:
* E_tot: -53.44 eV for the cell shown
* formation enthalpy at 0 K: 0.034 eV/atom
* spin magnetization: 0.00 μB per cell


Material: LaSmHoMg
Method: DFT, PBE
State: optimized geometry

The structure in POSCAR format:
```
LaSmHoMg
1.0
5.6248 0.0000 0.0000
2.8124 4.8712 0.0000
2.8124 1.6237 4.5926
Ho Sm Mg La
1 1 1 1
Direct
0.5000 0.5000 0.5000
0.7500 0.7500 0.7500
0.0000 0.0000 0.0000
0.2500 0.2500 0.2500
```

Summary:
* E_tot: -15.75 eV for the cell shown
* formation enthalpy at 0 K: 0.017 eV/atom
* E above lowest polymorph: 40 meV/atom
* spin magnetization: 0.00 μB per cell


Material: LaSmHoMg
Method: DFT, PBE
State: optimized geometry

The structure in POSCAR format:
```
LaSmHoMg
1.0
3.7268 0.0000 0.0000
0.0000 3.7268 0.0000
0.0000 0.0000 9.0145
Ho La Sm Mg
1 1 1 1
Direct
0.5000 0.5000 0.3514
0.0000 0.0000 0.0761
0.5000 0.5000 0.7918
0.0000 0.0000 0.5655
```

Summary:
* E_tot: -15.91 eV for the cell shown
* formation enthalpy at 0 K: -0.023 eV/atom
* E above lowest polymorph: 0 meV/atom
* spin magnetization: 0.00 μB per cell


Material: LaHoMgSn
Method: DFT, PBE
State: optimized geometry

The structure in POSCAR format:
```
LaHoMgSn
1.0
5.4157 0.0000 0.0000
2.7078 4.6901 0.0000
2.7078 1.5634 4.4219
Sn Ho La Mg
1 1 1 1
Direct
0.2500 0.2500 0.2500
0.5000 0.5000 0.5000
0.0000 0.0000 0.0000
0.7500 0.7500 0.7500
```

Summary:
* E_tot: -16.80 eV for the cell shown
* formation enthalpy at 0 K: -0.424 eV/atom
* spin magnetization: 0.00 μB per cell


Material: SrLaHoMg
Method: DFT, PBE
State: optimized geometry

The structure in POSCAR format:
```
SrLaHoMg
1.0
5.8298 0.0000 0.0000
2.9149 5.0488 0.0000
2.9149 1.6829 4.7600
Ho Mg La Sr
1 1 1 1
Direct
0.2500 0.2500 0.2500
0.7500 0.7500 0.7500
0.0000 0.0000 0.0000
0.5000 0.5000 0.5000
```

Summary:
* E_tot: -12.27 eV for the cell shown
* formation enthalpy at 0 K: 0.128 eV/atom
* spin magnetization: 0.00 μB per cell


Material: La6Tb2HoMg
Method: DFT, PBE
State: optimized geometry

The structure in POSCAR format:
```
La6Tb2HoMg
1.0
8.9430 -2.0486 -2.1260
0.9228 8.6223 -1.0417
0.9228 -1.3606 8.5778
La Tb Ho Mg
12 4 2 2
Direct
0.3275 0.0331 0.4571
0.8275 0.4571 0.0331
0.3996 0.5622 0.3193
0.5842 0.7494 0.0794
0.8996 0.3193 0.5622
0.9158 0.9206 0.2506
0.4158 0.2506 0.9206
0.1004 0.6807 0.4378
0.6004 0.4378 0.6807
0.6725 0.9669 0.5429
0.1725 0.5429 0.9669
0.0842 0.0794 0.7494
0.4064 0.8028 0.7358
0.9064 0.7358 0.8028
0.5936 0.1972 0.2642
0.0935 0.2642 0.1972
0.7500 0.0688 0.9312
0.2500 0.9312 0.0688
0.2500 0.4052 0.5948
0.7500 0.5948 0.4052
```

Summary:
* E_tot: -88.10 eV for the cell shown
* formation enthalpy at 0 K: 0.095 eV/atom
* spin magnetization: 0.00 μB per cell


Material: LaTb6Ho2Mg
Method: DFT, PBE
State: optimized geometry

The structure in POSCAR format:
```
LaTb6Ho2Mg
1.0
6.6201 -0.7841 -0.8137
1.5429 10.1840 -3.1791
1.5429 -3.5544 10.0592
Ho Tb Mg La
4 12 2 2
Direct
0.5055 0.8266 0.6578
0.0055 0.6578 0.8266
0.9945 0.3422 0.1734
0.4945 0.1734 0.3422
0.2911 0.9143 0.4256
0.9524 0.9354 0.2216
0.4791 0.4848 0.3144
0.0209 0.6856 0.5152
0.0476 0.0646 0.7784
0.7089 0.0857 0.5744
0.9791 0.3144 0.4848
0.2089 0.5744 0.0857
0.5476 0.7784 0.0646
0.7911 0.4256 0.9143
0.4524 0.2216 0.9354
0.5209 0.5152 0.6856
0.7500 0.7090 0.2910
0.2500 0.2910 0.7090
0.2500 0.9849 0.0151
0.7500 0.0151 0.9849
```

Summary:
* E_tot: -84.60 eV for the cell shown
* formation enthalpy at 0 K: 0.116 eV/atom
* spin magnetization: 0.00 μB per cell


Material: La2TbHo2Mg5
Method: DFT, PBE
State: optimized geometry

The structure in POSCAR format:
```
La2TbHo2Mg5
1.0
-0.5316 -2.5344 -4.4085
8.1720 -6.2973 2.6348
-6.7359 -6.7724 4.7055
Mg La Ho Tb
10 4 4 2
Direct
0.5000 0.6987 0.4293
0.5000 0.4293 0.3013
0.5000 0.0000 0.5000
0.5000 0.5707 0.6987
0.5000 0.9293 0.1987
0.5000 0.1987 0.0707
0.5000 0.8013 0.9293
0.5000 0.3013 0.5707
0.5000 0.0707 0.8013
0.5000 0.5000 0.0000
0.0000 0.8243 0.6757
0.0000 0.6757 0.1757
0.0000 0.3243 0.8243
0.0000 0.1757 0.3243
0.0000 0.1206 0.6206
0.0000 0.3794 0.1206
0.0000 0.6206 0.8794
0.0000 0.8794 0.3794
0.0000 0.0000 0.0000
0.0000 0.5000 0.5000
```

Summary:
* E_tot: -63.10 eV for the cell shown
* formation enthalpy at 0 K: 0.006 eV/atom
* spin magnetization: 0.00 μB per cell